# 1
# SmTm12Sc3

An optimized crystal structure of SmTm12Sc3 (GGA-PBE, Alexandria via LeMat-Bulk).

Cell and atoms, written as CIF:
```
data_SmTm12Sc3
_chemical_formula_sum 'Sm1 Tm12 Sc3'
_space_group_name_H-M_alt 'P 4/m m m'
_space_group_IT_number 123
_space_group_name_Hall '-P 4 2'
_cell_length_a 4.887
_cell_length_b 4.887
_cell_length_c 19.534
_cell_angle_alpha 90.00
_cell_angle_beta 90.00
_cell_angle_gamma 90.00
loop_
_atom_site_label
_atom_site_type_symbol
_atom_site_fract_x
_atom_site_fract_y
_atom_site_fract_z
Sm1 Sm 0.000 0.000 0.000
Tm1 Tm 0.000 0.500 0.130
Tm2 Tm 0.000 0.500 0.377
Tm3 Tm 0.500 0.500 0.000
Tm4 Tm 0.500 0.500 0.254
Tm5 Tm 0.500 0.500 0.500
Sc1 Sc 0.000 0.000 0.253
Sc2 Sc 0.000 0.000 0.500
```

Summary:
ΔH_f (0 K)   0.041 eV/atom



# 2
# Mg2B2Pd5Au

An optimized crystal structure of Mg2B2Pd5Au (GGA-PBE, Alexandria via LeMat-Bulk).

Cell and atoms, written as CIF:
```
data_Mg2B2Pd5Au
_chemical_formula_sum 'Mg4 B4 Pd10 Au2'
_space_group_name_H-M_alt 'P 4/m b m'
_space_group_IT_number 127
_space_group_name_Hall '-P 4 2ab'
_cell_length_a 9.507
_cell_length_b 9.507
_cell_length_c 3.181
_cell_angle_alpha 90.00
_cell_angle_beta 90.00
_cell_angle_gamma 90.00
loop_
_atom_site_label
_atom_site_type_symbol
_atom_site_fract_x
_atom_site_fract_y
_atom_site_fract_z
Mg1 Mg 0.176 0.324 0.000
B1 B 0.125 0.625 0.000
Pd1 Pd 0.000 0.500 0.500
Pd2 Pd 0.073 0.776 0.500
Au1 Au 0.000 0.000 0.000
```

Summary:
ΔH_f (0 K)   -0.401 eV/atom